[1]
A plane-wave DFT calculation with GGA-PBE was carried out for a relaxed structure of Nd3Y5.

```
data_Nd3Y5
_symmetry_space_group_name_H-M 'P 1'
_symmetry_Int_Tables_number 1
_symmetry_space_group_name_Hall 'P 1'
_cell_length_a 5.9342
_cell_length_b 7.0540
_cell_length_c 7.0540
_cell_angle_alpha 114.79
_cell_angle_beta 90.00
_cell_angle_gamma 90.00
loop_
_atom_site_label
_atom_site_type_symbol
_atom_site_fract_x
_atom_site_fract_y
_atom_site_fract_z
Y1 Y 0.5000 0.7520 0.7520
Y2 Y 0.5000 0.2480 0.2480
Y3 Y 0.0000 0.0000 0.5000
Y4 Y 0.0000 0.5000 0.0000
Y5 Y 0.0000 0.0000 0.0000
Nd1 Nd 0.5000 0.7502 0.2498
Nd2 Nd 0.0000 0.5000 0.5000
Nd3 Nd 0.5000 0.2498 0.7502
```

Summary:
* energy of formation: 0.8 eV per formula unit
* total DFT energy (no corrections): -5.729 eV/atom
* space-group type: Cmmm
* ρ: 5.43 g/cm3

=====

[2]
A plane-wave DFT calculation with GGA-PBE was carried out for a relaxed structure of TaNbCr2.

```
data_TaNbCr2
_symmetry_space_group_name_H-M 'P 1'
_symmetry_Int_Tables_number 1
_symmetry_space_group_name_Hall 'P 1'
_cell_length_a 6.8684
_cell_length_b 6.8684
_cell_length_c 5.5602
_cell_angle_alpha 51.86
_cell_angle_beta 51.86
_cell_angle_gamma 90.00
loop_
_atom_site_label
_atom_site_type_symbol
_atom_site_fract_x
_atom_site_fract_y
_atom_site_fract_z
Cr1 Cr 0.6226 0.1250 0.2500
Cr2 Cr 0.3750 0.3774 0.7500
Cr3 Cr 0.8750 0.8726 0.7500
Cr4 Cr 0.1274 0.6250 0.2500
Nb1 Nb 0.5000 0.5000 0.0000
Nb2 Nb 0.2500 0.7500 0.5000
Ta1 Ta 0.7500 0.2500 0.5000
Ta2 Ta 0.0000 0.0000 0.0000
```

Summary:
* energy of formation: 3.0 eV per formula unit
* total DFT energy (no corrections): -9.553 eV/atom
* space-group type: I-42d
* ρ: 9.83 g/cm3

=====

[3]
A plane-wave DFT calculation with GGA-PBE was carried out for a relaxed structure of Al2GaCuC.

```
data_Al2GaCuC
_symmetry_space_group_name_H-M 'P 1'
_symmetry_Int_Tables_number 1
_symmetry_space_group_name_Hall 'P 1'
_cell_length_a 4.9203
_cell_length_b 3.4929
_cell_length_c 4.9203
_cell_angle_alpha 90.00
_cell_angle_beta 90.00
_cell_angle_gamma 90.00
loop_
_atom_site_label
_atom_site_type_symbol
_atom_site_fract_x
_atom_site_fract_y
_atom_site_fract_z
Al1 Al 0.0000 0.0000 0.5000
Al2 Al 0.5000 0.0000 0.0000
Cu1 Cu 0.0000 0.0000 0.0000
Ga1 Ga 0.5000 0.5000 0.5000
C1 C 0.0000 0.5000 0.0000
```

Summary:
* energy of formation: 4.6 eV per formula unit
* total DFT energy (no corrections): -3.856 eV/atom
* space-group type: P4/mmm
* ρ: 3.91 g/cm3

=====

[4]
A plane-wave DFT calculation with GGA-PBE was carried out for a relaxed structure of Pm8CuAg2.

```
data_Pm8CuAg2
_symmetry_space_group_name_H-M 'P 1'
_symmetry_Int_Tables_number 1
_symmetry_space_group_name_Hall 'P 1'
_cell_length_a 5.2922
_cell_length_b 6.9835
_cell_length_c 9.4763
_cell_angle_alpha 105.66
_cell_angle_beta 106.21
_cell_angle_gamma 90.00
loop_
_atom_site_label
_atom_site_type_symbol
_atom_site_fract_x
_atom_site_fract_y
_atom_site_fract_z
Pm1 Pm 0.8006 0.6804 0.6011
Pm2 Pm 0.5898 0.4520 0.1796
Pm3 Pm 0.4102 0.5480 0.8204
Pm4 Pm 0.6620 0.9795 0.3240
Pm5 Pm 0.3380 0.0205 0.6760
Pm6 Pm 0.1994 0.3196 0.3989
Pm7 Pm 0.0250 0.7808 0.0499
Pm8 Pm 0.9750 0.2192 0.9501
Ag1 Ag 0.8174 0.2679 0.6348
Ag2 Ag 0.1826 0.7321 0.3652
Cu1 Cu 0.5000 0.0000 0.0000
```

Summary:
* energy of formation: -0.9 eV per formula unit
* total DFT energy (no corrections): -4.430 eV/atom
* space-group type: C2/m
* ρ: 7.41 g/cm3

=====

[5]
A plane-wave DFT calculation with GGA-PBE was carried out for a relaxed structure of K2SrPb2.

```
data_K2SrPb2
_symmetry_space_group_name_H-M 'P 1'
_symmetry_Int_Tables_number 1
_symmetry_space_group_name_Hall 'P 1'
_cell_length_a 8.8411
_cell_length_b 8.8411
_cell_length_c 5.6493
_cell_angle_alpha 90.00
_cell_angle_beta 90.00
_cell_angle_gamma 90.00
loop_
_atom_site_label
_atom_site_type_symbol
_atom_site_fract_x
_atom_site_fract_y
_atom_site_fract_z
Pb1 Pb 0.3822 0.8822 0.0000
Pb2 Pb 0.8822 0.6178 0.0000
Pb3 Pb 0.1178 0.3822 0.0000
Pb4 Pb 0.6178 0.1178 0.0000
Sr1 Sr 0.0000 0.0000 0.0000
Sr2 Sr 0.5000 0.5000 0.0000
K1 K 0.1696 0.6696 0.5000
K2 K 0.8304 0.3304 0.5000
K3 K 0.3304 0.1696 0.5000
K4 K 0.6696 0.8304 0.5000
```

Summary:
* energy of formation: -0.7 eV per formula unit
* total DFT energy (no corrections): -2.400 eV/atom
* space-group type: P4/mbm
* ρ: 4.36 g/cm3

=====

[6]
A plane-wave DFT calculation with GGA-PBE was carried out for a relaxed structure of Ca2Cl2F.

```
data_Ca2Cl2F
_symmetry_space_group_name_H-M 'P 1'
_symmetry_Int_Tables_number 1
_symmetry_space_group_name_Hall 'P 1'
_cell_length_a 5.0356
_cell_length_b 5.0356
_cell_length_c 13.1081
_cell_angle_alpha 90.00
_cell_angle_beta 90.00
_cell_angle_gamma 90.00
loop_
_atom_site_label
_atom_site_type_symbol
_atom_site_fract_x
_atom_site_fract_y
_atom_site_fract_z
Cl1 Cl 0.5000 0.5000 0.3477
Cl2 Cl 0.5000 0.5000 0.6523
F1 F 0.5000 0.5000 0.0000
Ca1 Ca 0.5000 0.5000 0.8352
Ca2 Ca 0.5000 0.5000 0.1648
```

Summary:
* formation energy without anion corrections: -1711.9 meV/atom
* total DFT energy (no corrections): -3.625 eV/atom
* space-group type: P4/mmm
* ρ: 0.85 g/cm3

=====

[7]
A plane-wave DFT calculation with GGA-PBE was carried out for a relaxed structure of BaTaMn2.

```
data_BaTaMn2
_symmetry_space_group_name_H-M 'P 1'
_symmetry_Int_Tables_number 1
_symmetry_space_group_name_Hall 'P 1'
_cell_length_a 4.8470
_cell_length_b 4.8470
_cell_length_c 9.0115
_cell_angle_alpha 74.40
_cell_angle_beta 74.40
_cell_angle_gamma 90.00
loop_
_atom_site_label
_atom_site_type_symbol
_atom_site_fract_x
_atom_site_fract_y
_atom_site_fract_z
Ba1 Ba 0.2500 0.7500 0.5000
Ba2 Ba 0.5000 0.5000 0.0000
Mn1 Mn 0.8750 0.1250 0.7500
Mn2 Mn 0.8750 0.6250 0.2500
Mn3 Mn 0.8750 0.1250 0.2500
Mn4 Mn 0.3750 0.1250 0.7500
Ta1 Ta 0.7500 0.2500 0.5000
Ta2 Ta 0.0000 0.0000 0.0000
```

Summary:
* energy of formation: 4.9 eV per formula unit
* total DFT energy (no corrections): -6.798 eV/atom
* space-group type: I4_1/amd
* ρ: 7.26 g/cm3

=====

[8]
A plane-wave DFT calculation with GGA-PBE was carried out for a relaxed structure of Sr2BeRe.

```
data_Sr2BeRe
_symmetry_space_group_name_H-M 'P 1'
_symmetry_Int_Tables_number 1
_symmetry_space_group_name_Hall 'P 1'
_cell_length_a 6.2044
_cell_length_b 6.2044
_cell_length_c 6.2044
_cell_angle_alpha 145.38
_cell_angle_beta 131.80
_cell_angle_gamma 60.70
loop_
_atom_site_label
_atom_site_type_symbol
_atom_site_fract_x
_atom_site_fract_y
_atom_site_fract_z
Be1 Be 0.5616 0.5616 0.0000
Sr1 Sr 0.2730 0.7730 0.5000
Sr2 Sr 0.9837 0.9837 0.0000
Re1 Re 0.6817 0.1817 0.5000
```

Summary:
* energy of formation: 2.7 eV per formula unit
* total DFT energy (no corrections): -4.212 eV/atom
* space-group type: Imm2
* ρ: 6.14 g/cm3